The following is a PBE calculation of an optimized crystal structure of Li2LaI5, from Alexandria.

Output
Volume = 39.22 A^3/atom
Total DFT energy (no corrections) = -3.3852 eV/atom

The structure in CIF format:
```
data_Li2LaI5
_space_group_name_H-M_alt 'C 1 c 1'
_space_group_IT_number 9
_cell_length_a 14.956
_cell_length_b 7.940
_cell_length_c 11.587
_cell_angle_alpha 90.00
_cell_angle_beta 114.19
_cell_angle_gamma 90.00
loop_
_space_group_symop_operation_xyz
'x,y,z'
'x,-y,z+1/2'
'x+1/2,y+1/2,z'
'x+1/2,-y+1/2,z+1/2'
loop_
_atom_site_label
_atom_site_fract_x
_atom_site_fract_y
_atom_site_fract_z
Li1 0.000 0.036 0.000
Li2 0.238 0.036 0.845
La1 0.119 0.500 0.173
I1 0.033 0.157 0.727
I2 0.119 0.322 0.423
I3 0.205 0.157 0.119
I4 0.327 0.345 0.830
I5 0.410 0.155 0.516
```

=====

The following is a PBE calculation of an optimized crystal structure of Li2LaI4, from Alexandria.

Output
Volume = 36.22 A^3/atom
Total DFT energy (no corrections) = -3.3645 eV/atom

The structure in CIF format:
```
data_Li2LaI4
_space_group_name_H-M_alt 'I m m a'
_space_group_IT_number 74
_space_group_name_Hall '-I 2b 2'
_cell_length_a 8.301
_cell_length_b 9.282
_cell_length_c 13.163
_cell_angle_alpha 90.00
_cell_angle_beta 90.00
_cell_angle_gamma 90.00
loop_
_atom_site_label
_atom_site_fract_x
_atom_site_fract_y
_atom_site_fract_z
Li1 0.000 0.000 0.000
Li2 0.000 0.250 0.374
La1 0.250 0.250 0.750
I1 0.000 0.019 0.236
I2 0.239 0.250 0.995
```

=====

The following is a PBE calculation of an optimized crystal structure of Li3LaI, from Alexandria.

Output
Volume = 46.45 A^3/atom
Polymorph energy (0 for the lowest one) = 700 meV per atom
Total DFT energy (no corrections) = -1.6890 eV/atom

The structure in CIF format:
```
data_Li3LaI
_space_group_name_H-M_alt 'P m -3 m'
_space_group_IT_number 221
_space_group_name_Hall '-P 4 2 3'
_cell_length_a 6.147
_cell_length_b 6.147
_cell_length_c 6.147
_cell_angle_alpha 90.00
_cell_angle_beta 90.00
_cell_angle_gamma 90.00
loop_
_atom_site_label
_atom_site_fract_x
_atom_site_fract_y
_atom_site_fract_z
Li1 0.000 0.000 0.500
La1 0.000 0.000 0.000
I1 0.500 0.500 0.500
```

=====

The following is a PBE calculation of an optimized crystal structure of LiLaI2, from Alexandria.

Output
Volume = 29.95 A^3/atom
Polymorph energy (0 for the lowest one) = 0 meV per atom
Total DFT energy (no corrections) = -3.5549 eV/atom

The structure in CIF format:
```
data_LiLaI2
_space_group_name_H-M_alt 'R -3 m'
_space_group_IT_number 166
_space_group_name_Hall '-R 3 2"'
_cell_length_a 4.0430
_cell_length_b 4.0430
_cell_length_c 25.3928
_cell_angle_alpha 90.00
_cell_angle_beta 90.00
_cell_angle_gamma 120.00
loop_
_atom_site_label
_atom_site_fract_x
_atom_site_fract_y
_atom_site_fract_z
Li1 0.0000 0.0000 0.0000
La1 0.0000 0.0000 0.5000
I1 0.0000 0.0000 0.2628
```